Record 1
Pr12SmSn6: optimized geometry, PBE-GGA.

Calculated values
Its total energy is -4.9099 eV per atom. The value obtained for the total magnetic moment is 0.00 Bohr magnetons per cell. The calculation puts the formation energy at -0.379 eV/atom.

Unit cell a=9.419 b=9.419 c=9.419 alpha=110.82 beta=110.82 gamma=110.82
Fractional coordinates of all 19 atoms:
Sn  0.424  0.650  0.926
Sn  0.074  0.576  0.350
Sn  0.926  0.424  0.650
Sn  0.650  0.926  0.424
Sn  0.576  0.350  0.074
Sn  0.350  0.074  0.576
Pr  0.101  0.195  0.732
Pr  0.476  0.199  0.340
Pr  0.801  0.660  0.524
Pr  0.195  0.732  0.101
Pr  0.268  0.899  0.805
Pr  0.340  0.476  0.199
Pr  0.660  0.524  0.801
Pr  0.524  0.801  0.660
Pr  0.899  0.805  0.268
Pr  0.199  0.340  0.476
Pr  0.732  0.101  0.195
Pr  0.805  0.268  0.899
Sm  0.000  0.000  0.000

Record 2
TbPr5Sn3: optimized geometry, PBE-GGA.

Calculated values
Its total energy is -5.0642 eV per atom. The value obtained for the total magnetic moment is 5.56 Bohr magnetons per cell. The calculation puts the formation energy at -0.560 eV/atom.

Unit cell a=6.796 b=9.690 c=9.690 alpha=120.00 beta=90.00 gamma=90.00
Last column: magnetic moment on the atom in μB.
Fractional coordinates of all 18 atoms:
Sn  0.250  0.332  0.000  -0.02
Sn  0.750  0.332  0.332  -0.02
Sn  0.750  0.668  0.000  -0.02
Sn  0.250  0.668  0.668  -0.02
Sn  0.750  0.000  0.668  -0.02
Sn  0.250  0.000  0.332  -0.02
Pr  0.250  0.000  0.668  0.19
Pr  0.000  0.333  0.667  0.26
Pr  0.250  0.332  0.332  0.19
Pr  0.250  0.668  0.000  0.19
Pr  0.500  0.667  0.333  0.26
Pr  0.750  0.668  0.668  0.19
Pr  0.000  0.667  0.333  0.26
Pr  0.500  0.333  0.667  0.26
Pr  0.750  0.332  0.000  0.19
Pr  0.750  0.000  0.332  0.19
Tb  0.000  0.000  0.000  0.46
Tb  0.500  0.000  0.000  0.46

Record 3
NdCoSiC: optimized geometry, PBE-GGA.

Calculated values
Its total energy is -7.0565 eV per atom. The value obtained for the total magnetic moment is 0.00 Bohr magnetons per cell. For the uncorrected formation energy, the calculation gives -426 meV/atom.

Unit cell a=3.827 b=3.827 c=8.439 alpha=90.00 beta=90.00 gamma=90.00
Fractional coordinates of all 8 atoms:
Nd  0.500  0.000  0.157
Nd  0.000  0.500  0.843
C  0.500  0.000  0.860
C  0.000  0.500  0.140
Si  0.000  0.500  0.356
Si  0.500  0.000  0.644
Co  0.000  0.000  0.500
Co  0.500  0.500  0.500

Record 4
HfBeTe: optimized geometry, PBE-GGA.

Calculated values
Its total energy is -5.8349 eV per atom. The value obtained for the total magnetic moment is 0.00 Bohr magnetons per cell. For the uncorrected formation energy, the calculation gives -228 meV/atom.

Unit cell a=3.776 b=4.736 c=9.120 alpha=93.38 beta=102.12 gamma=113.47
Fractional coordinates of all 6 atoms:
Be  0.785  0.062  0.731
Be  0.457  0.281  0.853
Hf  0.347  0.338  0.581
Hf  0.142  0.688  0.818
Te  0.953  0.692  0.441
Te  0.984  0.163  0.024

Record 5
Pu2NpN3: optimized geometry, PBE-GGA.

Calculated values
Its total energy is -12.3003 eV per atom. The value obtained for the total magnetic moment is 26.05 Bohr magnetons per cell. For the uncorrected formation energy, the calculation gives -1204 meV/atom.

Unit cell a=4.923 b=6.957 c=6.029 alpha=106.78 beta=114.10 gamma=90.00
Last column: magnetic moment on the atom in μB.
Fractional coordinates of all 12 atoms:
Pu  0.333  0.916  0.665  4.87
Pu  0.333  0.416  0.665  4.87
Pu  0.667  0.084  0.335  4.87
Pu  0.667  0.584  0.335  4.87
N  0.499  0.250  0.000  -0.21
N  0.839  0.920  0.679  -0.21
N  0.501  0.750  0.000  -0.21
N  0.161  0.080  0.321  -0.21
N  0.160  0.580  0.321  -0.21
N  0.840  0.420  0.679  -0.21
Np  0.000  0.750  0.000  3.31
Np  0.000  0.250  0.000  3.31

Record 6
NaLi: optimized geometry, PBE-GGA.

Calculated values
Its total energy is -1.5656 eV per atom. The value obtained for the total magnetic moment is 0.00 Bohr magnetons per cell. The calculation puts the formation energy at 0.051 eV/atom.

Unit cell a=3.398 b=4.739 c=7.648 alpha=90.00 beta=113.02 gamma=90.00
Fractional coordinates of all 4 atoms:
Na  0.389  0.750  0.147
Na  0.611  0.250  0.853
Li  0.142  0.250  0.398
Li  0.858  0.750  0.602

Record 7
AlVMo4: optimized geometry, PBE-GGA.

Calculated values
Its total energy is -9.4862 eV per atom. The value obtained for the total magnetic moment is 0.00 Bohr magnetons per cell. The calculation puts the formation energy at -0.122 eV/atom.

Unit cell a=3.130 b=5.130 c=6.339 alpha=72.12 beta=89.99 gamma=72.13
Fractional coordinates of all 6 atoms:
Mo  0.836  0.825  0.662
Mo  0.166  0.166  0.341
Mo  0.176  0.146  0.831
Mo  0.826  0.845  0.173
Al  0.501  0.495  0.002
V  0.501  0.495  0.502

Record 8
PmTlGe: optimized geometry, PBE-GGA.

Calculated values
Its total energy is -4.3337 eV per atom. The value obtained for the total magnetic moment is 0.00 Bohr magnetons per cell. The calculation puts the formation energy at -0.422 eV/atom.

Unit cell a=4.702 b=4.455 c=4.455 alpha=120.00 beta=90.00 gamma=90.00
Fractional coordinates of all 3 atoms:
Ge  0.981  0.000  0.000
Pm  0.298  0.667  0.333
Tl  0.721  0.333  0.667

Record 9
Li2AgP: optimized geometry, PBE-GGA.

Calculated values
Its total energy is -3.3828 eV per atom. The value obtained for the total magnetic moment is 0.00 Bohr magnetons per cell. The calculation puts the formation energy at -0.361 eV/atom.

Unit cell a=4.331 b=4.331 c=4.331 alpha=60.00 beta=60.00 gamma=60.00
Fractional coordinates of all 4 atoms:
Li  0.250  0.250  0.250
Li  0.750  0.750  0.750
Ag  0.500  0.500  0.500
P  0.000  0.000  0.000

Record 10
YSi2P: optimized geometry, PBE-GGA.

Calculated values
Its total energy is -5.6226 eV per atom. The value obtained for the total magnetic moment is 0.00 Bohr magnetons per cell. For the uncorrected formation energy, the calculation gives 57 meV/atom.

Unit cell a=4.749 b=4.749 c=4.749 alpha=60.00 beta=60.00 gamma=60.00
Fractional coordinates of all 4 atoms:
Y  0.750  0.750  0.750
P  0.500  0.500  0.500
Si  0.000  0.000  0.000
Si  0.250  0.250  0.250

Record 11
Ca3Se: optimized geometry, PBE-GGA.

Calculated values
Its total energy is -3.2058 eV per atom. The value obtained for the total magnetic moment is 0.00 Bohr magnetons per cell. For the uncorrected formation energy, the calculation gives -833 meV/atom.

Unit cell a=3.699 b=3.699 c=9.624 alpha=90.00 beta=90.00 gamma=90.00
Fractional coordinates of all 4 atoms:
Ca  0.000  0.000  0.931
Ca  0.000  0.000  0.569
Ca  0.500  0.500  0.250
Se  0.500  0.500  0.750

Record 12
BeMo2Br: optimized geometry, PBE-GGA.

Calculated values
Its total energy is -6.2673 eV per atom. The value obtained for the total magnetic moment is 0.00 Bohr magnetons per cell. For the uncorrected formation energy, the calculation gives 498 meV/atom.

Unit cell a=3.014 b=3.014 c=8.527 alpha=90.00 beta=90.00 gamma=115.22
Fractional coordinates of all 4 atoms:
Br  0.500  0.500  0.676
Be  0.000  0.000  0.499
Mo  0.500  0.500  0.273
Mo  0.000  0.000  0.052

Record 13
La2PRh2: optimized geometry, PBE-GGA.

Calculated values
Its total energy is -6.7329 eV per atom. The value obtained for the total magnetic moment is 0.00 Bohr magnetons per cell. The calculation puts the formation energy at -0.739 eV/atom.

Unit cell a=4.174 b=4.174 c=12.046 alpha=90.00 beta=90.00 gamma=90.00
Fractional coordinates of all 10 atoms:
Rh  0.000  0.000  0.000
Rh  0.500  0.000  0.698
Rh  0.000  0.500  0.302
Rh  0.500  0.500  0.000
P  0.000  0.500  0.106
P  0.500  0.000  0.894
La  0.500  0.000  0.216
La  0.000  0.500  0.784
La  0.500  0.500  0.500
La  0.000  0.000  0.500

Record 14
Ti3C2: optimized geometry, PBE-GGA.

Calculated values
Its total energy is -9.1999 eV per atom. The value obtained for the total magnetic moment is 0.00 Bohr magnetons per cell. The calculation puts the formation energy at -0.773 eV/atom.

Unit cell a=5.314 b=5.314 c=9.689 alpha=100.44 beta=100.44 gamma=109.83
Fractional coordinates of all 20 atoms:
C  0.166  0.666  0.333
C  0.334  0.834  0.667
C  0.084  0.084  0.167
C  0.999  0.499  0.998
C  0.916  0.916  0.833
C  0.501  0.001  0.002
C  0.749  0.749  0.498
C  0.251  0.251  0.502
Ti  0.168  0.687  0.840
Ti  0.578  0.597  0.660
Ti  0.082  0.063  0.660
Ti  0.489  0.989  0.500
Ti  0.403  0.422  0.340
Ti  0.239  0.239  0.000
Ti  0.937  0.918  0.340
Ti  0.011  0.511  0.500
Ti  0.847  0.328  0.160
Ti  0.313  0.832  0.160
Ti  0.761  0.761  0.000
Ti  0.672  0.153  0.840

Record 15
CaP12Ru4: optimized geometry, PBE-GGA.

Calculated values
Its total energy is -6.7117 eV per atom. The value obtained for the total magnetic moment is 0.00 Bohr magnetons per cell. The calculation puts the formation energy at -0.593 eV/atom.

Unit cell a=7.005 b=7.005 c=7.005 alpha=109.47 beta=109.47 gamma=109.47
Fractional coordinates of all 17 atoms:
P  0.502  0.143  0.359
P  0.857  0.641  0.498
P  0.143  0.641  0.784
P  0.641  0.498  0.857
P  0.216  0.857  0.359
P  0.498  0.857  0.641
P  0.359  0.502  0.143
P  0.359  0.216  0.857
P  0.784  0.143  0.641
P  0.857  0.359  0.216
P  0.143  0.359  0.502
P  0.641  0.784  0.143
Ru  0.500  0.500  0.500
Ru  0.500  0.000  0.000
Ru  0.000  0.500  0.000
Ru  0.000  0.000  0.500
Ca  0.000  0.000  0.000

Record 16
RbNiPt: optimized geometry, PBE-GGA.

Calculated values
Its total energy is -4.0592 eV per atom. The value obtained for the total magnetic moment is 0.00 Bohr magnetons per cell. The calculation puts the formation energy at 0.204 eV/atom.

Unit cell a=2.870 b=4.046 c=11.732 alpha=90.00 beta=90.62 gamma=90.00
Fractional coordinates of all 6 atoms:
Rb  0.212  0.000  0.303
Rb  0.212  0.500  0.803
Pt  0.706  0.000  0.032
Pt  0.706  0.500  0.532
Ni  0.207  0.500  0.069
Ni  0.207  0.000  0.569

Record 17
CdPbF: optimized geometry, PBE-GGA.

Calculated values
Its total energy is -3.1281 eV per atom. The value obtained for the total magnetic moment is 0.00 Bohr magnetons per cell. For the uncorrected formation energy, the calculation gives -963 meV/atom.

Unit cell a=3.407 b=3.413 c=13.413 alpha=90.00 beta=90.00 gamma=119.94
Fractional coordinates of all 6 atoms:
F  0.703  0.406  0.599
F  0.703  0.406  0.401
Pb  0.184  0.368  0.802
Pb  0.184  0.368  0.198
Cd  0.521  0.043  0.000
Cd  0.371  0.742  0.500

Record 18
Ta2TlO6: optimized geometry, PBE-GGA.

Calculated values
Its total energy is -8.5252 eV per atom. The value obtained for the total magnetic moment is 0.00 Bohr magnetons per cell. For the uncorrected formation energy, the calculation gives -2323 meV/atom.

Unit cell a=5.385 b=5.385 c=5.241 alpha=90.00 beta=90.00 gamma=120.00
Fractional coordinates of all 9 atoms:
Ta  0.333  0.667  0.500
Ta  0.667  0.333  0.500
O  0.000  0.617  0.290
O  0.383  0.383  0.290
O  0.383  0.000  0.710
O  0.617  0.000  0.290
O  0.000  0.383  0.710
O  0.617  0.617  0.710
Tl  0.000  0.000  0.000